## Ba2SrHg16 (PBE-GGA)

Data for a relaxed structure of Ba2SrHg16.

Calculated values
* DFT formation energy: -0.2694 eV/atom
* SG: R3m
* uncorrected energy: -0.81 eV per atom

abc: 8.4047 8.4047 8.4047
angles: 76.92 76.92 76.92
With the nearest neighbours (Å) after each atom.
Atoms (fractional coordinates):
Ba (0.0000, 0.0000, 0.0000)  12 Hg 3.58-3.62
Ba (0.3267, 0.3267, 0.3267)  13 Hg 3.69-4.01
Sr (0.7422, 0.7422, 0.7422)  13 Hg 3.28-3.56
Hg (0.0057, 0.0057, 0.5707)  6 Hg 3.10-3.16, 1 Sr 3.35
Hg (0.0057, 0.5706, 0.0057)  6 Hg 3.10-3.16, 1 Sr 3.35
Hg (0.1812, 0.6278, 0.6278)  7 Hg 3.01-3.31
Hg (0.2836, 0.2836, 0.8940)  4 Hg 3.10-3.31
Hg (0.2836, 0.8940, 0.2836)  4 Hg 3.10-3.31
Hg (0.3541, 0.6635, 0.9601)  4 Hg 3.10-3.24
Hg (0.3541, 0.9601, 0.6635)  4 Hg 3.10-3.24
Hg (0.5550, 0.5550, 0.5550)  3 Hg 3.01, 1 Sr 3.28
Hg (0.5707, 0.0057, 0.0057)  6 Hg 3.10-3.16, 1 Sr 3.35
Hg (0.6278, 0.1812, 0.6278)  7 Hg 3.01-3.31
Hg (0.6278, 0.6278, 0.1812)  7 Hg 3.01-3.31
Hg (0.6635, 0.3541, 0.9601)  4 Hg 3.10-3.24
Hg (0.6635, 0.9601, 0.3541)  4 Hg 3.10-3.24
Hg (0.8940, 0.2836, 0.2836)  4 Hg 3.10-3.31
Hg (0.9601, 0.3541, 0.6635)  4 Hg 3.10-3.24
Hg (0.9601, 0.6635, 0.3541)  4 Hg 3.10-3.24